Here is an optimized crystal structure of KGeAs2Br from Alexandria via LeMat-Bulk. Energies are from PBE.

Computed properties:
DOS(E_F) in states/eV per atom: 0.82
Space group: P4/mmm
Formation energy without anion corrections in eV/atom: -0.036
Energy above the lowest structure with this stoichiometry in meV per atom: 0.0

The structure in extended XYZ format:
```
5
Lattice="4.914 0.000 0.000 0.000 4.914 0.000 0.000 0.000 6.582" Properties=species:S:1:pos:R:3 pbc="T T T"
K 0.000 0.000 0.000
Ge 2.457 2.457 3.291
As 0.000 2.457 3.291
As 2.457 0.000 3.291
Br 2.457 2.457 0.000
```

Here is an optimized crystal structure of PmHoBi2 from Alexandria via LeMat-Bulk. Energies are from PBE.

Computed properties:
DOS(E_F) in states/eV per atom: 0.63
Space group: R-3m
Energy above the lowest structure with this stoichiometry in meV per atom: 683.1
Energy of formation from the pure elements in meV/atom: -203

The structure in extended XYZ format:
```
4
Lattice="1.790 1.034 11.770 -1.790 1.034 11.770 0.000 -2.067 11.770" Properties=species:S:1:pos:R:3 pbc="T T T"
Pm 0.000 0.000 0.000
Ho 0.000 0.000 17.655
Bi 0.000 0.000 14.497
Bi 0.000 0.000 20.812
```